Record 1
A relaxed structure of Na2FeMo, computed with GGA-PBEsol.

Results
Formation energy in meV/atom: 1767.1

```
data_Na2FeMo
_chemical_formula_sum 'Na2 Fe1 Mo1'
_symmetry_space_group_name_H-M 'P 1'
_symmetry_Int_Tables_number 1
_cell_length_a 4.761
_cell_length_b 4.761
_cell_length_c 4.761
_cell_angle_alpha 60.00
_cell_angle_beta 60.00
_cell_angle_gamma 60.00
loop_
_symmetry_equiv_pos_as_xyz
'x,y,z'
loop_
_atom_site_label
_atom_site_fract_x
_atom_site_fract_y
_atom_site_fract_z
Fe1 0.000 0.000 0.000
Na1 0.750 0.750 0.750
Na2 0.250 0.250 0.250
Mo1 0.500 0.500 0.500
```

---

Record 2
A relaxed structure of Sc2GePd2, computed with GGA-PBEsol.

Results
Formation energy in meV/atom: -507.7

```
data_Sc2GePd2
_chemical_formula_sum 'Sc2 Ge1 Pd2'
_symmetry_space_group_name_H-M 'P 1'
_symmetry_Int_Tables_number 1
_cell_length_a 5.078
_cell_length_b 5.186
_cell_length_c 5.078
_cell_angle_alpha 60.68
_cell_angle_beta 90.00
_cell_angle_gamma 119.32
loop_
_symmetry_equiv_pos_as_xyz
'x,y,z'
loop_
_atom_site_label
_atom_site_fract_x
_atom_site_fract_y
_atom_site_fract_z
Ge1 0.000 0.000 0.000
Pd1 0.338 0.676 0.662
Pd2 0.662 0.324 0.338
Sc1 0.750 0.500 0.750
Sc2 0.250 0.500 0.250
```

---

Record 3
A relaxed structure of SrIrPt, computed with GGA-PBEsol.

Results
Formation energy in meV/atom: 572.6

```
data_SrIrPt
_chemical_formula_sum 'Sr1 Ir1 Pt1'
_symmetry_space_group_name_H-M 'P 1'
_symmetry_Int_Tables_number 1
_cell_length_a 2.911
_cell_length_b 2.911
_cell_length_c 7.368
_cell_angle_alpha 90.00
_cell_angle_beta 90.00
_cell_angle_gamma 120.00
loop_
_symmetry_equiv_pos_as_xyz
'x,y,z'
loop_
_atom_site_label
_atom_site_fract_x
_atom_site_fract_y
_atom_site_fract_z
Ir1 0.000 0.000 0.984
Pt1 0.333 0.667 0.685
Sr1 0.667 0.333 0.331
```

---

V: 76.3; 96.5; 54.1 (Å³/cell)
Total magnetization: 6.06; 0.00; 0.01 (μB per formula unit)